The following is a GGA-PBE calculation of a relaxed Zr3AlZn2PdPt2 crystal, from OQMD.

a b c (Å): 3.538 7.247 7.247
angles (deg): 120.68 90.00 90.00
Fractional coordinates of all 9 atoms:
Al  0.000  0.258  0.258
Pd  0.500  0.007  0.007
Pt  0.000  0.659  0.332
Pt  0.000  0.332  0.659
Zn  0.000  0.737  0.004
Zn  0.000  0.004  0.737
Zr  0.500  0.995  0.404
Zr  0.500  0.604  0.604
Zr  0.500  0.404  0.995

V (Å³ per cell): 159.8
SG: Amm2, No. 38
Uncorrected energy (eV per atom): -6.295